No. 1
The following is a PBEsol calculation of a relaxed Be2AgMo crystal, from Alexandria.

Calculated values
DFT total energy: -22.67 eV/f.u.
energy above the lowest structure with this stoichiometry: 0.000 eV/atom
spin magnetization: 0.0 μB/f.u.
energy of formation: 40 kJ/mol of formula units
Fermi-level density of states: 1.41 states/eV/f.u.
symmetry: P4/mmm (123)

Structure (CIF):
```
data_Be2AgMo
_chemical_formula_sum 'Be2 Ag1 Mo1'
_cell_length_a 2.682
_cell_length_b 2.682
_cell_length_c 6.717
_cell_angle_alpha 90.00
_cell_angle_beta 90.00
_cell_angle_gamma 90.00
_symmetry_space_group_name_H-M 'P 1'
_symmetry_Int_Tables_number 1
_symmetry_space_group_name_Hall 'P 1'
loop_
_atom_site_label
_atom_site_fract_x
_atom_site_fract_y
_atom_site_fract_z
Be1 0.000 0.000 0.256
Mo1 0.500 0.500 0.000
Be2 0.000 0.000 0.744
Ag1 0.500 0.500 0.500
```

No. 2
The following is a PBEsol calculation of a relaxed Ca4ZrMo crystal, from Alexandria.

Calculated values
DFT total energy: -22.32 eV/f.u.
spin magnetization: 1.1 μB/f.u.
energy of formation: 682 kJ/mol of formula units
Fermi-level density of states: 13.24 states/eV/f.u.
symmetry: F-43m (216)

Structure (CIF):
```
data_Ca4ZrMo
_chemical_formula_sum 'Ca4 Zr1 Mo1'
_cell_length_a 6.272
_cell_length_b 6.272
_cell_length_c 6.272
_cell_angle_alpha 60.00
_cell_angle_beta 60.00
_cell_angle_gamma 60.00
_symmetry_space_group_name_H-M 'P 1'
_symmetry_Int_Tables_number 1
_symmetry_space_group_name_Hall 'P 1'
loop_
_atom_site_label
_atom_site_fract_x
_atom_site_fract_y
_atom_site_fract_z
Ca1 0.375 0.875 0.375
Zr1 0.000 0.000 0.000
Mo1 0.750 0.750 0.750
Ca2 0.375 0.375 0.375
Ca3 0.375 0.375 0.875
Ca4 0.875 0.375 0.375
```